# CsLaTaAu2, single point on PBEsol structure, DFT SCAN
data_CsLaTaAu2
_chemical_formula_sum 'Cs1 La1 Ta1 Au2'
_cell_length_a 5.105
_cell_length_b 5.105
_cell_length_c 5.464
_cell_angle_alpha 90.00
_cell_angle_beta 90.00
_cell_angle_gamma 90.00
_symmetry_space_group_name_H-M 'P 4/m m m'
_symmetry_Int_Tables_number 123
_symmetry_space_group_name_Hall '-P 4 2'
loop_
_atom_site_label
_atom_site_type_symbol
_atom_site_fract_x
_atom_site_fract_y
_atom_site_fract_z
_atom_site_occupancy
Cs1 Cs 0.000 0.000 0.000 1
La1 La 0.500 0.500 0.000 1
Ta1 Ta 0.000 0.000 0.500 1
Au1 Au 0.000 0.500 0.500 1
# E_form (meV per atom): 655.7
# Magnetization (μB/cell): 0.0
# Volume (Å³ per atom): 28.5

=====

# CaH2CClO3, single point on PBEsol structure, DFT SCAN
data_CaH2CClO3
_chemical_formula_sum 'Ca4 H8 C4 Cl4 O12'
_cell_length_a 9.774
_cell_length_b 7.254
_cell_length_c 6.919
_cell_angle_alpha 90.00
_cell_angle_beta 131.18
_cell_angle_gamma 90.00
_symmetry_space_group_name_H-M 'C 1 2/m 1'
_symmetry_Int_Tables_number 12
loop_
_symmetry_equiv_pos_as_xyz
'x,y,z'
'-x,-y,-z'
'-x,y,-z'
'x,-y,z'
'x+1/2,y+1/2,z'
'-x+1/2,-y+1/2,-z'
'-x+1/2,y+1/2,-z'
'x+1/2,-y+1/2,z'
loop_
_atom_site_label
_atom_site_type_symbol
_atom_site_fract_x
_atom_site_fract_y
_atom_site_fract_z
_atom_site_occupancy
Ca1 Ca 0.134 0.000 0.382 1
H1 H 0.094 0.279 0.033 1
C1 C 0.000 0.393 0.500 1
Cl1 Cl 0.239 0.000 0.880 1
O1 O 0.000 0.193 0.000 1
O2 O 0.112 0.315 0.493 1
# Raw total energy (eV/cell): -270.965
# Magnetization (μB/cell): 0.0
# Volume (Å³ per atom): 11.5

=====

# Zn3AsI, single point on PBEsol structure, DFT SCAN
data_Zn3AsI
_chemical_formula_sum 'Zn3 As1 I1'
_cell_length_a 5.141
_cell_length_b 5.141
_cell_length_c 5.141
_cell_angle_alpha 90.00
_cell_angle_beta 90.00
_cell_angle_gamma 90.00
_symmetry_space_group_name_H-M 'P m -3 m'
_symmetry_Int_Tables_number 221
_symmetry_space_group_name_Hall '-P 4 2 3'
loop_
_atom_site_label
_atom_site_type_symbol
_atom_site_fract_x
_atom_site_fract_y
_atom_site_fract_z
_atom_site_occupancy
Zn1 Zn 0.000 0.000 0.500 1
As1 As 0.500 0.500 0.500 1
I1 I 0.000 0.000 0.000 1
# Raw total energy (eV/cell): -91.867
# Magnetization (μB/cell): 0.0
# Volume (Å³ per atom): 27.2

=====

# TcI3Br, single point on PBEsol structure, DFT SCAN
data_TcI3Br
_chemical_formula_sum 'Tc1 I3 Br1'
_cell_length_a 5.767
_cell_length_b 5.767
_cell_length_c 5.767
_cell_angle_alpha 90.00
_cell_angle_beta 90.00
_cell_angle_gamma 90.00
_symmetry_space_group_name_H-M 'P m -3 m'
_symmetry_Int_Tables_number 221
_symmetry_space_group_name_Hall '-P 4 2 3'
loop_
_atom_site_label
_atom_site_type_symbol
_atom_site_fract_x
_atom_site_fract_y
_atom_site_fract_z
_atom_site_occupancy
Tc1 Tc 0.000 0.000 0.000 1
I1 I 0.000 0.500 0.500 1
Br1 Br 0.500 0.500 0.500 1
# Raw total energy (eV/cell): -159.214
# Magnetization (μB/cell): 6.2
# Volume (Å³ per atom): 38.4

=====

# TmGa3Os, single point on PBEsol structure, DFT SCAN
data_TmGa3Os
_chemical_formula_sum 'Tm3 Ga9 Os3'
_cell_length_a 6.305
_cell_length_b 6.305
_cell_length_c 6.305
_cell_angle_alpha 90.00
_cell_angle_beta 90.00
_cell_angle_gamma 90.00
_symmetry_space_group_name_H-M 'P m -3 m'
_symmetry_Int_Tables_number 221
_symmetry_space_group_name_Hall '-P 4 2 3'
loop_
_atom_site_label
_atom_site_type_symbol
_atom_site_fract_x
_atom_site_fract_y
_atom_site_fract_z
_atom_site_occupancy
Tm1 Tm 0.000 0.000 0.500 1
Ga1 Ga 0.000 0.000 0.000 1
Ga2 Ga 0.287 0.287 0.287 1
Os1 Os 0.000 0.500 0.500 1
# E_form (meV per atom): -614.9
# Magnetization (μB/cell): 0.0
# Volume (Å³ per atom): 16.7

=====

# PRhO3, single point on PBEsol structure, DFT SCAN
data_PRhO3
_chemical_formula_sum 'P1 Rh1 O3'
_cell_length_a 3.573
_cell_length_b 3.573
_cell_length_c 3.573
_cell_angle_alpha 90.00
_cell_angle_beta 90.00
_cell_angle_gamma 90.00
_symmetry_space_group_name_H-M 'P m -3 m'
_symmetry_Int_Tables_number 221
_symmetry_space_group_name_Hall '-P 4 2 3'
loop_
_atom_site_label
_atom_site_type_symbol
_atom_site_fract_x
_atom_site_fract_y
_atom_site_fract_z
_atom_site_occupancy
P1 P 0.000 0.000 0.000 1
Rh1 Rh 0.500 0.500 0.500 1
O1 O 0.000 0.000 0.500 1
# Raw total energy (eV/cell): -65.242
# Magnetization (μB/cell): 2.5
# Volume (Å³ per atom): 9.1

=====

# Mg3NbPt, single point on PBEsol structure, DFT SCAN
data_Mg3NbPt
_chemical_formula_sum 'Mg3 Nb1 Pt1'
_cell_length_a 4.882
_cell_length_b 4.882
_cell_length_c 4.882
_cell_angle_alpha 90.00
_cell_angle_beta 90.00
_cell_angle_gamma 90.00
_symmetry_space_group_name_H-M 'P m -3 m'
_symmetry_Int_Tables_number 221
_symmetry_space_group_name_Hall '-P 4 2 3'
loop_
_atom_site_label
_atom_site_type_symbol
_atom_site_fract_x
_atom_site_fract_y
_atom_site_fract_z
_atom_site_occupancy
Mg1 Mg 0.000 0.000 0.500 1
Nb1 Nb 0.500 0.500 0.500 1
Pt1 Pt 0.000 0.000 0.000 1
# E_form (meV per atom): 226.6
# Magnetization (μB/cell): 4.1
# Volume (Å³ per atom): 23.3

=====

# MnCdW2Au, single point on PBEsol structure, DFT SCAN
data_MnCdW2Au
_chemical_formula_sum 'Mn1 Cd1 W2 Au1'
_cell_length_a 4.380
_cell_length_b 4.380
_cell_length_c 4.784
_cell_angle_alpha 90.00
_cell_angle_beta 90.00
_cell_angle_gamma 90.00
_symmetry_space_group_name_H-M 'P 4/m m m'
_symmetry_Int_Tables_number 123
_symmetry_space_group_name_Hall '-P 4 2'
loop_
_atom_site_label
_atom_site_type_symbol
_atom_site_fract_x
_atom_site_fract_y
_atom_site_fract_z
_atom_site_occupancy
Mn1 Mn 0.000 0.000 0.000 1
Cd1 Cd 0.000 0.000 0.500 1
W1 W 0.000 0.500 0.000 1
Au1 Au 0.500 0.500 0.500 1
# E_form (meV per atom): 1443.5
# Magnetization (μB/cell): 0.0
# Volume (Å³ per atom): 18.4

=====

# La4MgIr, single point on PBEsol structure, DFT SCAN
data_La4MgIr
_chemical_formula_sum 'La64 Mg16 Ir16'
_cell_length_a 14.183
_cell_length_b 14.183
_cell_length_c 14.183
_cell_angle_alpha 90.00
_cell_angle_beta 90.00
_cell_angle_gamma 90.00
_symmetry_space_group_name_H-M 'F -4 3 m'
_symmetry_Int_Tables_number 216
_symmetry_space_group_name_Hall 'F -4 2 3'
loop_
_atom_site_label
_atom_site_type_symbol
_atom_site_fract_x
_atom_site_fract_y
_atom_site_fract_z
_atom_site_occupancy
La1 La 0.000 0.000 0.189 1
La2 La 0.059 0.250 0.750 1
La3 La 0.154 0.154 0.346 1
Mg1 Mg 0.079 0.079 0.579 1
Ir1 Ir 0.141 0.141 0.141 1
# E_form (meV per atom): -477.8
# Magnetization (μB/cell): 0.0
# Volume (Å³ per atom): 29.7

=====

# Be2Cu2Cl, single point on PBEsol structure, DFT SCAN
data_Be2Cu2Cl
_chemical_formula_sum 'Be4 Cu4 Cl2'
_cell_length_a 3.260
_cell_length_b 3.260
_cell_length_c 12.527
_cell_angle_alpha 90.00
_cell_angle_beta 90.00
_cell_angle_gamma 90.00
_symmetry_space_group_name_H-M 'I 4/m m m'
_symmetry_Int_Tables_number 139
_symmetry_space_group_name_Hall '-I 4 2'
loop_
_atom_site_label
_atom_site_type_symbol
_atom_site_fract_x
_atom_site_fract_y
_atom_site_fract_z
_atom_site_occupancy
Be1 Be 0.000 0.000 0.116 1
Cu1 Cu 0.000 0.500 0.250 1
Cl1 Cl 0.000 0.000 0.500 1
# Raw total energy (eV/cell): -90.084
# Magnetization (μB/cell): 0.0
# Volume (Å³ per atom): 13.3

=====

# La2YIr2, single point on PBEsol structure, DFT SCAN
data_La2YIr2
_chemical_formula_sum 'La4 Y2 Ir4'
_cell_length_a 7.682
_cell_length_b 7.682
_cell_length_c 4.069
_cell_angle_alpha 90.00
_cell_angle_beta 90.00
_cell_angle_gamma 90.00
_symmetry_space_group_name_H-M 'P 4/m b m'
_symmetry_Int_Tables_number 127
_symmetry_space_group_name_Hall '-P 4 2ab'
loop_
_atom_site_label
_atom_site_type_symbol
_atom_site_fract_x
_atom_site_fract_y
_atom_site_fract_z
_atom_site_occupancy
La1 La 0.161 0.339 0.000 1
Y1 Y 0.000 0.000 0.500 1
Ir1 Ir 0.142 0.642 0.500 1
# E_form (meV per atom): -755.5
# Magnetization (μB/cell): 0.0
# Volume (Å³ per atom): 24.0

=====

# CaYAlO4, single point on PBEsol structure, DFT SCAN
data_CaYAlO4
_chemical_formula_sum 'Ca2 Y2 Al2 O8'
_cell_length_a 3.633
_cell_length_b 3.633
_cell_length_c 11.761
_cell_angle_alpha 90.00
_cell_angle_beta 90.00
_cell_angle_gamma 90.00
_symmetry_space_group_name_H-M 'I 4 m m'
_symmetry_Int_Tables_number 107
_symmetry_space_group_name_Hall 'I 4 -2'
loop_
_atom_site_label
_atom_site_type_symbol
_atom_site_fract_x
_atom_site_fract_y
_atom_site_fract_z
_atom_site_occupancy
Ca1 Ca 0.000 0.000 0.000 1
Y1 Y 0.000 0.000 0.286 1
Al1 Al 0.000 0.000 0.639 1
O1 O 0.000 0.000 0.473 1
O2 O 0.000 0.000 0.812 1
O3 O 0.000 0.500 0.150 1
# Raw total energy (eV/cell): -190.180
# Magnetization (μB/cell): 0.0
# Volume (Å³ per atom): 11.1